1.
# RbBaTe2N, relaxed, DFT PBE
data_RbBaTe2N
_chemical_formula_sum 'Rb1 Ba1 Te2 N1'
_symmetry_space_group_name_H-M 'P 4/m m m'
_symmetry_Int_Tables_number 123
_symmetry_space_group_name_Hall '-P 4 2'
_cell_length_a 6.385
_cell_length_b 6.385
_cell_length_c 5.203
_cell_angle_alpha 90.00
_cell_angle_beta 90.00
_cell_angle_gamma 90.00
loop_
_atom_site_label
_atom_site_fract_x
_atom_site_fract_y
_atom_site_fract_z
_atom_site_occupancy
Rb1 0.000 0.000 0.000 1
Ba1 0.500 0.500 0.500 1
Te1 0.000 0.500 0.000 1
N1 0.000 0.000 0.500 1
# Crystal system: tetragonal
# Energy above the most stable polymorph in this dataset, eV/f.u.: 1.41
# Formation energy without anion corrections, eV/f.u.: 2.3

---

2.
# Rb3InTc, relaxed, DFT PBE
data_Rb3InTc
_chemical_formula_sum 'Rb3 In1 Tc1'
_symmetry_space_group_name_H-M 'P m -3 m'
_symmetry_Int_Tables_number 221
_symmetry_space_group_name_Hall '-P 4 2 3'
_cell_length_a 6.967
_cell_length_b 6.967
_cell_length_c 6.967
_cell_angle_alpha 90.00
_cell_angle_beta 90.00
_cell_angle_gamma 90.00
loop_
_atom_site_label
_atom_site_fract_x
_atom_site_fract_y
_atom_site_fract_z
_atom_site_occupancy
Rb1 0.000 0.000 0.500 1
In1 0.000 0.000 0.000 1
Tc1 0.500 0.500 0.500 1
# Crystal system: cubic
# ΔH_f (0 K), eV/f.u.: 6.38
# Energy above the most stable polymorph in this dataset, eV/f.u.: 0.00

---

3.
# Cd2TcNi, relaxed, DFT PBE
data_Cd2TcNi
_chemical_formula_sum 'Cd4 Tc2 Ni2'
_symmetry_space_group_name_H-M 'I 4/m m m'
_symmetry_Int_Tables_number 139
_symmetry_space_group_name_Hall '-I 4 2'
_cell_length_a 4.229
_cell_length_b 4.229
_cell_length_c 7.520
_cell_angle_alpha 90.00
_cell_angle_beta 90.00
_cell_angle_gamma 90.00
loop_
_atom_site_label
_atom_site_fract_x
_atom_site_fract_y
_atom_site_fract_z
_atom_site_occupancy
Cd1 0.000 0.500 0.250 1
Tc1 0.000 0.000 0.000 1
Ni1 0.000 0.000 0.500 1
# Crystal system: tetragonal
# ΔH_f (0 K), eV/f.u.: 1.91
# Energy above the most stable polymorph in this dataset, eV/f.u.: 1.22

---

4.
# Mg12Sn5Au2, relaxed, DFT PBE
data_Mg12Sn5Au2
_chemical_formula_sum 'Mg24 Sn10 Au4'
_symmetry_space_group_name_H-M 'C 1 2/m 1'
_symmetry_Int_Tables_number 12
_cell_length_a 15.477
_cell_length_b 7.164
_cell_length_c 9.569
_cell_angle_alpha 90.00
_cell_angle_beta 105.97
_cell_angle_gamma 90.00
loop_
_symmetry_equiv_pos_as_xyz
'x,y,z'
'-x,-y,-z'
'-x,y,-z'
'x,-y,z'
'x+1/2,y+1/2,z'
'-x+1/2,-y+1/2,-z'
'-x+1/2,y+1/2,-z'
'x+1/2,-y+1/2,z'
loop_
_atom_site_label
_atom_site_fract_x
_atom_site_fract_y
_atom_site_fract_z
_atom_site_occupancy
Mg1 0.006 0.000 0.176 1
Mg2 0.072 0.500 0.260 1
Mg3 0.153 0.249 0.588 1
Mg4 0.178 0.221 0.096 1
Sn1 0.000 0.500 0.500 1
Sn2 0.181 0.000 0.839 1
Sn3 0.187 0.000 0.363 1
Au1 0.000 0.307 0.000 1
# Crystal system: monoclinic
# ΔH_f (0 K), eV/f.u.: -2.61

---

no.,total moment (μB/f.u.)
1,2.7
2,4.4
3,2.5
4,0.0